No. 1
# Pm2Dy6YEr

An optimized crystal structure of Pm2Dy6YEr (PBE, Alexandria).

Results
size of the total moment: 0.000 μB per cell
density: 7.78 g/cm3
total DFT energy (no corrections): -188.010 eV/cell
DOS(E_F): 53.69 states/eV per cell

Cell lengths 9.010, 15.110, 9.639 Å; angles 90.00, 98.39, 90.00 degrees
Space group C2/c (No. 15)
Unique sites:
Pm 0.249 0.054 0.043
Dy 0.063 0.190 0.443
Dy 0.105 0.395 0.619
Dy 0.203 0.223 0.813
Y 0.000 0.019 0.750
Er 0.000 0.408 0.250

***

No. 2
# Sb2HRhI

An optimized crystal structure of Sb2HRhI (PBE, Alexandria).

Results
size of the total moment: 0.872 μB per cell
density: 5.20 g/cm3
total DFT energy (no corrections): -17.217 eV/cell
DOS(E_F): 2.73 states/eV per cell

Cell lengths 5.065, 5.065, 5.902 Å; angles 90.00, 90.00, 90.00 degrees
Space group P4/mmm (No. 123)
Unique sites:
Sb 0.000 0.500 0.000
H 0.000 0.000 0.500
Rh 0.500 0.500 0.000
I 0.500 0.500 0.500

***

No. 3
# ScTi2In3

An optimized crystal structure of ScTi2In3 (PBE, Alexandria).

Results
size of the total moment: 0.000 μB per cell
density: 6.57 g/cm3
total DFT energy (no corrections): -31.293 eV/cell
DOS(E_F): 3.60 states/eV per cell

Cell lengths 3.629, 3.629, 9.303 Å; angles 90.00, 90.00, 90.00 degrees
Space group P4/mmm (No. 123)
Unique sites:
Sc 0.000 0.000 0.000
Ti 0.000 0.000 0.349
In 0.500 0.500 0.180
In 0.500 0.500 0.500